No. 1
A relaxed structure of Ga2Ge3Rh4, computed with PBE-GGA.

Calculated values
- DFT formation energy: -0.37 eV per atom
- SG: No. 15

Unit cell a=7.1930 b=7.1930 c=5.7312 alpha=96.17 beta=96.17 gamma=83.86
Last column: nearest neighbours and their distance in Å.
Atoms (fractional coordinates):
Ga (0.0627, 0.3641, 0.1095)  4 Rh 2.45-2.65, 1 Ga 2.47
Ga (0.3641, 0.0627, 0.6095)  4 Rh 2.45-2.65, 1 Ga 2.47
Ga (0.6359, 0.9373, 0.3905)  4 Rh 2.45-2.65, 1 Ga 2.47
Ga (0.9373, 0.6359, 0.8905)  4 Rh 2.45-2.65, 1 Ga 2.47
Ge (0.1558, 0.8442, 0.2500)  6 Rh 2.43-2.60
Ge (0.2363, 0.4370, 0.5730)  4 Rh 2.47-2.65
Ge (0.4370, 0.2363, 0.0730)  4 Rh 2.47-2.65
Ge (0.5630, 0.7637, 0.9270)  4 Rh 2.47-2.65
Ge (0.7637, 0.5630, 0.4270)  4 Rh 2.47-2.65
Ge (0.8442, 0.1558, 0.7500)  6 Rh 2.43-2.60
Rh (0.0406, 0.1762, 0.4360)  3 Ge 2.43-2.60, 2 Ga 2.45-2.52
Rh (0.1762, 0.0406, 0.9360)  3 Ge 2.43-2.60, 2 Ga 2.45-2.52
Rh (0.3030, 0.5820, 0.9868)  4 Ge 2.47-2.65, 2 Ga 2.63-2.65
Rh (0.4180, 0.6970, 0.5132)  4 Ge 2.47-2.65, 2 Ga 2.63-2.65
Rh (0.5820, 0.3030, 0.4868)  4 Ge 2.47-2.65, 2 Ga 2.63-2.65
Rh (0.6970, 0.4180, 0.0132)  4 Ge 2.47-2.65, 2 Ga 2.63-2.65
Rh (0.8238, 0.9594, 0.0640)  3 Ge 2.43-2.60, 2 Ga 2.45-2.52
Rh (0.9594, 0.8238, 0.5640)  3 Ge 2.43-2.60, 2 Ga 2.45-2.52


No. 2
A relaxed structure of GaGeRh2, computed with PBE-GGA.

Calculated values
- DFT formation energy: -0.51 eV per atom
- SG: No. 123

Unit cell a=4.1570 b=4.1570 c=3.3063 alpha=90.00 beta=90.00 gamma=90.00
Last column: nearest neighbours and their distance in Å.
Atoms (fractional coordinates):
Ga (0.0000, 0.0000, 0.0000)  8 Rh 2.66, 4 Ge 2.94
Ge (0.5000, 0.5000, 0.0000)  8 Rh 2.66, 4 Ga 2.94
Rh (0.0000, 0.5000, 0.5000)  4 Ge 2.66, 4 Ga 2.66, 4 Rh 2.94
Rh (0.5000, 0.0000, 0.5000)  4 Ge 2.66, 4 Ga 2.66, 4 Rh 2.94


No. 3
A relaxed structure of GaGeRh2, computed with PBE-GGA.

Calculated values
- DFT formation energy: 0.07 eV per atom
- SG: No. 122

Unit cell a=6.8535 b=6.8535 c=6.8535 alpha=133.18 beta=133.18 gamma=68.37
Last column: nearest neighbours and their distance in Å.
Atoms (fractional coordinates):
Ga (0.0000, 0.0000, 0.0000)  4 Rh 2.42
Ga (0.7500, 0.2500, 0.5000)  4 Rh 2.42
Ge (0.2500, 0.7500, 0.5000)  4 Rh 2.37
Ge (0.5000, 0.5000, 0.0000)  4 Rh 2.37
Rh (0.1330, 0.6250, 0.0080)  2 Ge 2.37, 2 Ga 2.42
Rh (0.3750, 0.3830, 0.5080)  2 Ge 2.37, 2 Ga 2.42
Rh (0.6170, 0.1250, 0.9920)  2 Ge 2.37, 2 Ga 2.42
Rh (0.8750, 0.8670, 0.4920)  2 Ge 2.37, 2 Ga 2.42


No. 4
A relaxed structure of Ga2GeRh2, computed with PBE-GGA.

Calculated values
- DFT formation energy: -0.29 eV per atom
- SG: No. 139

Unit cell a=6.8133 b=6.8133 c=6.8133 alpha=149.92 beta=149.92 gamma=43.06
Last column: nearest neighbours and their distance in Å.
Atoms (fractional coordinates):
Ga (0.2500, 0.7500, 0.5000)  4 Ga 2.50, 4 Rh 2.55
Ga (0.7500, 0.2500, 0.5000)  4 Ga 2.50, 4 Rh 2.55
Ge (0.0000, 0.0000, 0.0000)  8 Rh 2.83
Rh (0.3952, 0.3952, 0.0000)  4 Ga 2.55, 1 Rh 2.66, 4 Ge 2.83
Rh (0.6048, 0.6048, 0.0000)  4 Ga 2.55, 1 Rh 2.66, 4 Ge 2.83


No. 5
A relaxed structure of Ga2GeRh8, computed with PBE-GGA.

Calculated values
- DFT formation energy: -0.22 eV per atom
- SG: No. 12

Unit cell a=7.8236 b=7.8236 c=5.4133 alpha=102.06 beta=102.06 gamma=30.09
Last column: nearest neighbours and their distance in Å.
Atoms (fractional coordinates):
Ga (0.1852, 0.1852, 0.2401)  9 Rh 2.45-2.70
Ga (0.8148, 0.8148, 0.7599)  9 Rh 2.45-2.70
Ge (0.5000, 0.5000, 0.5000)  8 Rh 2.35-2.60
Rh (0.0207, 0.0207, 0.2477)  1 Ga 2.49, 2 Ge 2.50, 3 Rh 2.62-2.78
Rh (0.2098, 0.2098, 0.8071)  3 Ga 2.45-2.62, 2 Rh 2.69
Rh (0.3456, 0.3456, 0.5158)  1 Ge 2.35, 3 Ga 2.52-2.56
Rh (0.4011, 0.4011, 0.0429)  1 Ge 2.60, 2 Ga 2.70, 7 Rh 2.78-2.90
Rh (0.5989, 0.5989, 0.9571)  1 Ge 2.60, 2 Ga 2.70, 7 Rh 2.78-2.90
Rh (0.6544, 0.6544, 0.4842)  1 Ge 2.35, 3 Ga 2.52-2.56
Rh (0.7902, 0.7902, 0.1929)  3 Ga 2.45-2.62, 2 Rh 2.69
Rh (0.9793, 0.9793, 0.7523)  1 Ga 2.49, 2 Ge 2.50, 3 Rh 2.62-2.78


No. 6
A relaxed structure of GaGe2Rh8, computed with PBE-GGA.

Calculated values
- DFT formation energy: -0.28 eV per atom
- SG: No. 71

Unit cell a=7.1032 b=7.1032 c=7.1032 alpha=147.02 beta=123.54 gamma=66.96
Last column: nearest neighbours and their distance in Å.
Atoms (fractional coordinates):
Ga (0.0000, 0.0000, 0.0000)  12 Rh 2.64-2.87
Ge (0.3063, 0.3063, 0.0000)  10 Rh 2.53-2.79
Ge (0.6937, 0.6937, 0.0000)  10 Rh 2.53-2.79
Rh (0.1191, 0.8397, 0.2794)  3 Ge 2.53-2.55, 1 Ga 2.67, 5 Rh 2.76-2.78
Rh (0.1434, 0.6434, 0.5000)  2 Ga 2.64, 8 Rh 2.66-2.76, 2 Ge 2.79
Rh (0.3040, 0.5000, 0.8040)  7 Rh 2.63-2.78, 2 Ge 2.65, 2 Ga 2.87
Rh (0.4397, 0.1603, 0.2794)  3 Ge 2.53-2.55, 1 Ga 2.67, 5 Rh 2.76-2.78
Rh (0.5603, 0.8397, 0.7206)  3 Ge 2.53-2.55, 1 Ga 2.67, 5 Rh 2.76-2.78
Rh (0.6960, 0.5000, 0.1960)  7 Rh 2.63-2.78, 2 Ge 2.65, 2 Ga 2.87
Rh (0.8566, 0.3566, 0.5000)  2 Ga 2.64, 8 Rh 2.66-2.76, 2 Ge 2.79
Rh (0.8809, 0.1603, 0.7206)  3 Ge 2.53-2.55, 1 Ga 2.67, 5 Rh 2.76-2.78


No. 7
A relaxed structure of Ga3Ge2Rh4, computed with PBE-GGA.

Calculated values
- DFT formation energy: -0.42 eV per atom
- SG: No. 15

Unit cell a=8.7171 b=8.7171 c=4.4465 alpha=104.55 beta=104.55 gamma=66.03
Last column: nearest neighbours and their distance in Å.
Atoms (fractional coordinates):
Ga (0.1061, 0.8939, 0.7500)  8 Rh 2.52-2.74
Ga (0.3006, 0.4833, 0.1390)  3 Rh 2.39-2.61
Ga (0.4833, 0.3006, 0.6390)  3 Rh 2.39-2.61
Ga (0.5167, 0.6994, 0.3610)  3 Rh 2.39-2.61
Ga (0.6994, 0.5167, 0.8610)  3 Rh 2.39-2.61
Ga (0.8939, 0.1061, 0.2500)  8 Rh 2.52-2.74
Ge (0.1067, 0.3279, 0.4653)  5 Rh 2.47-2.66
Ge (0.3279, 0.1067, 0.9653)  5 Rh 2.47-2.66
Ge (0.6721, 0.8933, 0.0347)  5 Rh 2.47-2.66
Ge (0.8933, 0.6721, 0.5347)  5 Rh 2.47-2.66
Rh (0.0102, 0.2171, 0.8646)  3 Ge 2.49-2.66, 3 Ga 2.54-2.74
Rh (0.2073, 0.5732, 0.6375)  4 Ga 2.39-2.61, 2 Ge 2.47-2.51
Rh (0.2171, 0.0102, 0.3646)  3 Ge 2.49-2.66, 3 Ga 2.54-2.74
Rh (0.4268, 0.7927, 0.8625)  4 Ga 2.39-2.61, 2 Ge 2.47-2.51
Rh (0.5732, 0.2073, 0.1375)  4 Ga 2.39-2.61, 2 Ge 2.47-2.51
Rh (0.7829, 0.9898, 0.6354)  3 Ge 2.49-2.66, 3 Ga 2.54-2.74
Rh (0.7927, 0.4268, 0.3625)  4 Ga 2.39-2.61, 2 Ge 2.47-2.51
Rh (0.9898, 0.7829, 0.1354)  3 Ge 2.49-2.66, 3 Ga 2.54-2.74


No. 8
A relaxed structure of Ga2GeRh2, computed with PBE-GGA.

Calculated values
- DFT formation energy: -0.41 eV per atom
- SG: No. 127

Unit cell a=7.2627 b=7.2627 c=2.9356 alpha=90.00 beta=90.00 gamma=90.00
Last column: nearest neighbours and their distance in Å.
Atoms (fractional coordinates):
Ga (0.1451, 0.3549, 0.0000)  6 Rh 2.55-2.61
Ga (0.3549, 0.8549, 0.0000)  6 Rh 2.55-2.61
Ga (0.6451, 0.1451, 0.0000)  6 Rh 2.55-2.61
Ga (0.8549, 0.6451, 0.0000)  6 Rh 2.55-2.61
Ge (0.0000, 0.0000, 0.5000)  4 Rh 2.76, 2 Ge 2.94
Ge (0.5000, 0.5000, 0.5000)  4 Rh 2.76, 2 Ge 2.94
Rh (0.1520, 0.6520, 0.5000)  6 Ga 2.55-2.61, 2 Ge 2.76
Rh (0.3480, 0.1520, 0.5000)  6 Ga 2.55-2.61, 2 Ge 2.76
Rh (0.6520, 0.8480, 0.5000)  6 Ga 2.55-2.61, 2 Ge 2.76
Rh (0.8480, 0.3480, 0.5000)  6 Ga 2.55-2.61, 2 Ge 2.76